Material: InTeBrO3
Method: DFT, PBEsol
State: optimized geometry

a = 6.884 Å, b = 7.155 Å, c = 8.681 Å
α = 103.95°, β = 90.00°, γ = 90.00°
Positions (direct):
O  0.215  0.009  0.532
O  0.057  0.654  0.321
O  0.943  0.346  0.679
O  0.557  0.258  0.676
O  0.943  0.758  0.676
O  0.715  0.491  0.468
O  0.057  0.242  0.324
O  0.443  0.742  0.324
O  0.443  0.154  0.321
O  0.785  0.991  0.468
O  0.285  0.509  0.532
O  0.557  0.846  0.679
Te  0.235  0.442  0.305
Te  0.765  0.558  0.695
Te  0.265  0.942  0.305
Te  0.735  0.058  0.695
In  0.250  0.301  0.674
In  0.750  0.199  0.326
In  0.250  0.801  0.674
In  0.750  0.699  0.326
Br  0.299  0.622  0.913
Br  0.701  0.378  0.087
Br  0.799  0.878  0.087
Br  0.201  0.122  0.913

Properties
As for the volume: 17.3 Å³/atom. The value obtained for the energy relative to the elements, uncorrected is -1.1707 eV/atom.